No. 1
First-principles (PBE) data for an optimized crystal structure of Tm8HgRu2, as listed in Alexandria.

Cell: 8.9106 8.9106 8.9106 Å, 146.33 57.41 134.95°
Element x y z (fractional)
Tm 0.0000 0.0000 0.0000
Tm 0.2569 0.5921 0.6648
Tm 0.3422 0.4529 0.8893
Tm 0.4188 0.1302 0.2886
Tm 0.5636 0.4529 0.1107
Tm 0.7163 0.2163 0.5000
Tm 0.8415 0.1302 0.7114
Tm 0.9273 0.5921 0.3352
Hg 0.2935 0.7935 0.5000
Ru 0.6526 0.8228 0.8298
Ru 0.9931 0.8228 0.1702

Values from the calculation:
Energy relative to the elements, meV per atom: -302
Space-group type: Imm2, No. 44
DOS at the Fermi energy, states/eV/cell: 7.77

No. 2
First-principles (PBE) data for an optimized crystal structure of Tm5Hg2Ru2, as listed in Alexandria.

Cell: 8.7453 8.7453 7.4577 Å, 90.00 90.00 49.48°
Element x y z (fractional)
Tm 0.0000 0.0000 0.0000
Tm 0.0532 0.7046 0.6744
Tm 0.2046 0.5532 0.1744
Tm 0.2954 0.9468 0.6744
Tm 0.4468 0.7954 0.1744
Tm 0.5000 0.5000 0.5000
Tm 0.5532 0.2046 0.8256
Tm 0.7046 0.0532 0.3256
Tm 0.7954 0.4468 0.8256
Tm 0.9468 0.2954 0.3256
Hg 0.2178 0.2178 0.0000
Hg 0.2822 0.2822 0.5000
Hg 0.7178 0.7178 0.5000
Hg 0.7822 0.7822 0.0000
Ru 0.1249 0.8751 0.3715
Ru 0.3751 0.6249 0.8715
Ru 0.6249 0.3751 0.1285
Ru 0.8751 0.1249 0.6285

Values from the calculation:
Energy relative to the elements, meV per atom: -463
Space-group type: Cmce, No. 64
DOS at the Fermi energy, states/eV/cell: 13.10

No. 3
First-principles (PBE) data for an optimized crystal structure of Tm5Hg4Ru, as listed in Alexandria.

Cell: 3.5430 3.5430 18.7364 Å, 90.00 90.00 90.00°
Element x y z (fractional)
Tm 0.0000 0.0000 0.0000
Tm 0.0000 0.0000 0.2051
Tm 0.0000 0.0000 0.4150
Tm 0.0000 0.0000 0.5850
Tm 0.0000 0.0000 0.7949
Hg 0.5000 0.5000 0.1026
Hg 0.5000 0.5000 0.3072
Hg 0.5000 0.5000 0.6928
Hg 0.5000 0.5000 0.8974
Ru 0.5000 0.5000 0.5000

Values from the calculation:
Energy relative to the elements, meV per atom: -490
Space-group type: P4/mmm, No. 123
DOS at the Fermi energy, states/eV/cell: 5.91

No. 4
First-principles (PBE) data for an optimized crystal structure of Tm5HgRu, as listed in Alexandria.

Cell: 5.8264 5.8264 11.6621 Å, 102.29 102.29 76.79°
Element x y z (fractional)
Tm 0.0032 0.9968 0.7500
Tm 0.0829 0.4177 0.1251
Tm 0.2102 0.5456 0.4350
Tm 0.4177 0.0829 0.6251
Tm 0.4544 0.7898 0.0650
Tm 0.5456 0.2102 0.9350
Tm 0.5823 0.9171 0.3749
Tm 0.7898 0.4544 0.5650
Tm 0.9171 0.5823 0.8749
Tm 0.9968 0.0032 0.2500
Hg 0.4145 0.5855 0.7500
Hg 0.5855 0.4145 0.2500
Ru 0.0000 0.0000 0.0000
Ru 0.0000 0.0000 0.5000

Values from the calculation:
Energy relative to the elements, meV per atom: -195
Space-group type: C2/c, No. 15
DOS at the Fermi energy, states/eV/cell: 12.00

No. 5
First-principles (PBE) data for an optimized crystal structure of Tm6HgRu2, as listed in Alexandria.

Cell: 8.3438 8.3438 8.3438 Å, 112.94 112.43 103.22°
Element x y z (fractional)
Tm 0.0406 0.2422 0.7984
Tm 0.1818 0.2854 0.4673
Tm 0.1818 0.7146 0.8964
Tm 0.3315 0.0184 0.6868
Tm 0.3315 0.6447 0.3132
Tm 0.4438 0.2422 0.2016
Tm 0.5562 0.7578 0.7984
Tm 0.6685 0.3553 0.6868
Tm 0.6685 0.9816 0.3132
Tm 0.8182 0.2854 0.1036
Tm 0.8182 0.7146 0.5327
Tm 0.9594 0.7578 0.2016
Hg 0.0000 0.0000 0.0000
Hg 0.5000 0.5000 0.0000
Ru 0.1301 0.6301 0.5000
Ru 0.3258 0.0000 0.3258
Ru 0.6742 0.0000 0.6742
Ru 0.8699 0.3699 0.5000

Values from the calculation:
Energy relative to the elements, meV per atom: -401
Space-group type: Immm, No. 71
DOS at the Fermi energy, states/eV/cell: 16.02

No. 6
First-principles (PBE) data for an optimized crystal structure of Tm2HgRu, as listed in Alexandria.

Cell: 4.9620 4.9620 4.9620 Å, 60.00 60.00 60.00°
Element x y z (fractional)
Tm 0.2500 0.2500 0.2500
Tm 0.7500 0.7500 0.7500
Hg 0.0000 0.0000 0.0000
Ru 0.5000 0.5000 0.5000

Values from the calculation:
Energy relative to the elements, meV per atom: -399
Space-group type: Fm-3m, No. 225
DOS at the Fermi energy, states/eV/cell: 3.81

No. 7
First-principles (PBE) data for an optimized crystal structure of Tm4HgRu2, as listed in Alexandria.

Cell: 7.4891 7.4891 7.4891 Å, 109.10 109.10 110.22°
Element x y z (fractional)
Tm 0.0046 0.4021 0.2551
Tm 0.1470 0.7495 0.7449
Tm 0.1521 0.2546 0.7551
Tm 0.2505 0.9954 0.3975
Tm 0.4995 0.3970 0.2449
Tm 0.5979 0.8530 0.6025
Tm 0.6030 0.8479 0.1025
Tm 0.7454 0.5005 0.8975
Hg 0.0000 0.0000 0.0000
Hg 0.7500 0.2500 0.5000
Ru 0.2361 0.6250 0.1111
Ru 0.3750 0.4861 0.6111
Ru 0.5139 0.1250 0.8889
Ru 0.8750 0.7639 0.3889

Values from the calculation:
Energy relative to the elements, meV per atom: -331
Space-group type: I-42d, No. 122
DOS at the Fermi energy, states/eV/cell: 7.16

No. 8
First-principles (PBE) data for an optimized crystal structure of TmHgRu, as listed in Alexandria.

Cell: 11.4689 11.4689 11.4689 Å, 19.56 19.56 19.56°
Element x y z (fractional)
Tm 0.0939 0.0939 0.0939
Tm 0.9061 0.9061 0.9061
Hg 0.3028 0.3028 0.3028
Hg 0.6972 0.6972 0.6972
Ru 0.1778 0.1778 0.1778
Ru 0.8222 0.8222 0.8222

Values from the calculation:
Energy relative to the elements, meV per atom: -49
Space-group type: R-3m, No. 166
DOS at the Fermi energy, states/eV/cell: 3.57

No. 9
First-principles (PBE) data for an optimized crystal structure of Tm2HgRu, as listed in Alexandria.

Cell: 3.4323 3.4323 7.4080 Å, 90.00 90.00 90.00°
Element x y z (fractional)
Tm 0.0000 0.0000 0.2202
Tm 0.0000 0.0000 0.7798
Hg 0.5000 0.5000 0.5000
Ru 0.5000 0.5000 0.0000

Values from the calculation:
Energy relative to the elements, meV per atom: -540
Space-group type: P4/mmm, No. 123
DOS at the Fermi energy, states/eV/cell: 2.53

No. 10
First-principles (PBE) data for an optimized crystal structure of TmHgRu, as listed in Alexandria.

Cell: 5.4846 5.4846 5.4846 Å, 142.73 142.73 53.72°
Element x y z (fractional)
Tm 0.0000 0.0000 0.0000
Hg 0.6918 0.6918 0.0000
Ru 0.3526 0.3526 0.0000

Values from the calculation:
Energy relative to the elements, meV per atom: -180
Space-group type: I4mm, No. 107
DOS at the Fermi energy, states/eV/cell: 2.05

No. 11
First-principles (PBE) data for an optimized crystal structure of Tm4HgRu, as listed in Alexandria.

Cell: 7.5616 6.7944 6.5680 Å, 90.00 90.55 90.00°
Element x y z (fractional)
Tm 0.1369 0.1489 0.3424
Tm 0.1369 0.3511 0.8424
Tm 0.2986 0.6459 0.3643
Tm 0.2986 0.8541 0.8643
Tm 0.7014 0.1459 0.1357
Tm 0.7014 0.3541 0.6357
Tm 0.8631 0.6489 0.1576
Tm 0.8631 0.8511 0.6576
Hg 0.5000 0.0000 0.5000
Hg 0.5000 0.5000 0.0000
Ru 0.0000 0.0000 0.0000
Ru 0.0000 0.5000 0.5000

Values from the calculation:
Energy relative to the elements, meV per atom: -247
Space-group type: P2_1/c, No. 14
DOS at the Fermi energy, states/eV/cell: 8.93

No. 12
First-principles (PBE) data for an optimized crystal structure of Tm4HgRu, as listed in Alexandria.

Cell: 7.5292 7.5292 6.1428 Å, 98.78 98.78 111.36°
Element x y z (fractional)
Tm 0.0666 0.7251 0.9570
Tm 0.2038 0.3633 0.5952
Tm 0.2749 0.9334 0.5430
Tm 0.3633 0.2038 0.0952
Tm 0.6367 0.7962 0.9048
Tm 0.7251 0.0666 0.4570
Tm 0.7962 0.6367 0.4048
Tm 0.9334 0.2749 0.0430
Hg 0.3731 0.6269 0.2500
Hg 0.6269 0.3731 0.7500
Ru 0.0010 0.9990 0.7500
Ru 0.9990 0.0010 0.2500

Values from the calculation:
Energy relative to the elements, meV per atom: -406
Space-group type: C2/c, No. 15
DOS at the Fermi energy, states/eV/cell: 10.12